Here is a relaxed structure of Mn2O3 from Alexandria via LeMat-Bulk. Energies are from PBE+U.

- Volume: 10.908 Å³/atom
- E_tot: -75.1 eV per cell
- Total moment: 8.000 μB per formula unit
- Crystal system: monoclinic

Cell: 5.439 5.075 5.604 Å, 87.60 119.03 122.41°
Each line ends with the local moment (μB).
Fractional positions:
Mn (0.700, 0.359, 0.047)  4.01
O (0.487, 0.454, 0.253)  -0.09
O (0.779, 0.050, 0.243)  -0.09
Mn (0.705, 0.859, 0.547)  4.01
O (0.172, 0.752, 0.248)  -0.04
Mn (0.299, 0.644, 0.949)  4.01
O (0.513, 0.550, 0.743)  -0.09
O (0.220, 0.954, 0.753)  -0.09
O (0.828, 0.252, 0.748)  -0.04
Mn (0.295, 0.144, 0.449)  4.01

Here is a relaxed structure of MnOs3O from Alexandria via LeMat-Bulk. Energies are from PBE+U.

- Volume: 13.805 Å³/atom
- E_tot: -41.9 eV per cell
- Total moment: 3.894 μB per formula unit
- Crystal system: cubic
- ΔE to the lowest computed polymorph: 0 meV/atom

Cell: 4.102 4.102 4.102 Å, 90.00 90.00 90.00°
Each line ends with the local moment (μB).
Fractional positions:
Os (0.000, 0.000, 0.500)  -0.09
Mn (0.500, 0.500, 0.500)  4.31
Os (0.000, 0.500, 0.000)  -0.22
O (0.000, 0.000, 0.000)  -0.01
Os (0.500, 0.000, 0.000)  -0.18

Here is a relaxed structure of MnOsO3 from Alexandria via LeMat-Bulk. Energies are from PBE+U.

- Volume: 11.763 Å³/atom
- E_tot: -37.0 eV per cell
- Total moment: 6.137 μB per formula unit
- Crystal system: cubic

Cell: 3.889 3.889 3.889 Å, 90.00 90.00 90.00°
Each line ends with the local moment (μB).
Fractional positions:
O (0.500, 0.000, 0.000)  0.20
O (0.000, 0.000, 0.500)  0.04
Mn (0.500, 0.500, 0.500)  4.74
O (0.000, 0.500, 0.000)  0.08
Os (0.000, 0.000, 0.000)  0.72

Here is a relaxed structure of Mn3OsO6 from Alexandria via LeMat-Bulk. Energies are from PBE+U.

- Volume: 13.556 Å³/atom
- E_tot: -153.5 eV per cell
- Total moment: 13.019 μB per formula unit
- Crystal system: trigonal

Cell: 6.472 6.472 6.472 Å, 89.91 89.91 89.91°
Each line ends with the local moment (μB).
Fractional positions:
O (0.701, 0.003, 0.998)  -0.01
O (0.502, 0.497, 0.799)  -0.01
Mn (0.499, 0.001, 0.750)  4.53
Mn (0.999, 0.250, 0.501)  4.53
O (0.497, 0.799, 0.502)  -0.01
O (0.503, 0.201, 0.498)  -0.01
O (0.003, 0.998, 0.701)  -0.01
Mn (0.250, 0.501, 0.999)  4.53
O (0.299, 0.997, 0.002)  -0.01
Mn (0.501, 0.999, 0.250)  4.53
O (0.002, 0.299, 0.997)  -0.01
O (0.201, 0.498, 0.503)  -0.01
O (0.998, 0.701, 0.003)  -0.01
Mn (0.001, 0.750, 0.499)  4.53
Mn (0.750, 0.499, 0.001)  4.53
O (0.498, 0.503, 0.201)  -0.01
Os (0.500, 0.500, 0.500)  -1.06
O (0.997, 0.002, 0.299)  -0.01
Os (0.000, 0.000, 0.000)  -1.06
O (0.799, 0.502, 0.497)  -0.01

Here is a relaxed structure of MnOsO2 from Alexandria via LeMat-Bulk. Energies are from PBE+U.

- Volume: 11.943 Å³/atom
- E_tot: -53.9 eV per cell
- Total moment: 0.742 μB per formula unit
- Crystal system: tetragonal
- ΔE to the lowest computed polymorph: 1304 meV/atom

Cell: 4.563 4.563 5.609 Å, 66.00 66.00 90.00°
Each line ends with the local moment (μB).
Fractional positions:
Mn (0.250, 0.750, 0.500)  0.65
O (0.599, 0.125, 0.250)  0.01
Mn (0.500, 0.500, 0.000)  0.67
Os (0.000, 0.000, 0.000)  0.02
O (0.875, 0.849, 0.750)  0.01
O (0.151, 0.625, 0.250)  0.01
O (0.375, 0.401, 0.750)  0.01
Os (0.750, 0.250, 0.500)  0.01

Here is a relaxed structure of MnOsO2 from Alexandria via LeMat-Bulk. Energies are from PBE+U.

- Volume: 10.727 Å³/atom
- E_tot: -28.2 eV per cell
- Total moment: 5.149 μB per formula unit
- Crystal system: cubic
- ΔE to the lowest computed polymorph: 975 meV/atom

Cell: 3.930 3.930 3.930 Å, 60.00 60.00 60.00°
Each line ends with the local moment (μB).
Fractional positions:
O (0.750, 0.750, 0.750)  0.06
Os (0.500, 0.500, 0.500)  0.30
Mn (0.000, 0.000, 0.000)  4.53
O (0.250, 0.250, 0.250)  0.06

DOS at the Fermi energy? In order: 0.01, 1.01, 0.59, 0.61, 0.69, 0.67 states/eV per atom.